The following is a PBE calculation of a relaxed NaLa2ZnO5 crystal, from Alexandria via LeMat-Bulk.

Cell lengths 5.851, 6.884, 6.884 Å; angles 90.00, 90.00, 90.00 degrees
Sites, in units of the cell vectors:
Na: 0.000 0.500 0.500
Na: 0.000 0.000 0.000
La: 0.500 0.679 0.179
La: 0.500 0.179 0.321
La: 0.500 0.821 0.679
La: 0.500 0.321 0.821
Zn: 0.000 0.000 0.500
Zn: 0.000 0.500 0.000
O: 0.500 0.500 0.500
O: 0.500 0.000 0.000
O: 0.243 0.135 0.635
O: 0.243 0.865 0.365
O: 0.243 0.365 0.135
O: 0.243 0.635 0.865
O: 0.757 0.135 0.635
O: 0.757 0.635 0.865
O: 0.757 0.865 0.365
O: 0.757 0.365 0.135

Output
- mass density (g/cm³) = 5.345
- formation energy without anion corrections (meV/atom) = -2306
- volume (Å³ per cell) = 277

The following is a PBE calculation of a relaxed Na2LaZnO4 crystal, from Alexandria via LeMat-Bulk.

Cell lengths 3.383, 5.975, 11.684 Å; angles 90.00, 90.00, 106.45 degrees
Sites, in units of the cell vectors:
Na: 0.363 0.727 0.543
Na: 0.637 0.273 0.043
Na: 0.637 0.273 0.457
Na: 0.363 0.727 0.957
La: 0.109 0.217 0.750
La: 0.891 0.783 0.250
Zn: 0.842 0.684 0.750
Zn: 0.158 0.316 0.250
O: 0.287 0.574 0.137
O: 0.713 0.426 0.637
O: 0.713 0.426 0.863
O: 0.287 0.574 0.363
O: 0.000 0.000 0.500
O: 0.000 0.000 0.000
O: 0.440 0.879 0.750
O: 0.560 0.121 0.250

Output
- mass density (g/cm³) = 4.608
- formation energy without anion corrections (meV/atom) = -1784
- volume (Å³ per cell) = 227

The following is a PBE calculation of a relaxed NaLa2Zn2O6 crystal, from Alexandria via LeMat-Bulk.

Cell lengths 5.974, 5.974, 6.931 Å; angles 64.47, 64.47, 60.00 degrees
Sites, in units of the cell vectors:
Na: 0.000 0.000 0.000
La: 0.809 0.809 0.572
La: 0.191 0.191 0.428
Zn: 0.425 0.425 0.725
Zn: 0.575 0.575 0.275
O: 0.746 0.746 0.300
O: 0.208 0.746 0.300
O: 0.746 0.208 0.300
O: 0.254 0.792 0.700
O: 0.792 0.254 0.700
O: 0.254 0.254 0.700

Output
- mass density (g/cm³) = 4.715
- formation energy without anion corrections (meV/atom) = -1899
- volume (Å³ per cell) = 186

The following is a PBE calculation of a relaxed NaLaZr2O6 crystal, from Alexandria via LeMat-Bulk.

Cell lengths 5.812, 5.812, 5.812 Å; angles 120.13, 119.22, 90.56 degrees
Sites, in units of the cell vectors:
Na: 0.000 0.512 0.512
La: 0.500 0.977 0.477
Zr: 0.752 0.750 0.997
Zr: 0.248 0.245 0.997
O: 0.933 0.953 0.499
O: 0.067 0.567 0.020
O: 0.453 0.953 0.020
O: 0.547 0.567 0.499
O: 0.000 0.093 0.093
O: 0.500 0.385 0.885

Output
- mass density (g/cm³) = 5.242
- formation energy without anion corrections (meV/atom) = -3127
- volume (Å³ per cell) = 139

The following is a PBE calculation of a relaxed NaLaOs3 crystal, from Alexandria via LeMat-Bulk.

Cell lengths 4.655, 4.655, 4.655 Å; angles 90.00, 90.00, 90.00 degrees
Sites, in units of the cell vectors:
Na: 0.000 0.000 0.000
Os: 0.000 0.500 0.000
Os: 0.000 0.000 0.500
Os: 0.500 0.000 0.000
La: 0.500 0.500 0.500

Output
- mass density (g/cm³) = 12.059
- volume (Å³ per cell) = 101
- DFT formation energy (eV/atom) = 2.183

The following is a PBE calculation of a relaxed NaLa2Os crystal, from Alexandria via LeMat-Bulk.

Cell lengths 3.530, 3.530, 9.870 Å; angles 90.00, 90.00, 90.00 degrees
Sites, in units of the cell vectors:
Na: 0.500 0.500 0.500
Os: 0.500 0.500 0.000
La: 0.000 0.000 0.823
La: 0.000 0.000 0.177

Output
- mass density (g/cm³) = 6.628
- volume (Å³ per cell) = 123
- DFT formation energy (eV/atom) = -0.031

The following is a PBE calculation of a relaxed Na2La4Os crystal, from Alexandria via LeMat-Bulk.

Cell lengths 5.690, 5.690, 9.712 Å; angles 72.97, 72.97, 90.00 degrees
Sites, in units of the cell vectors:
Na: 0.640 0.640 0.719
Na: 0.360 0.360 0.281
Os: 0.000 0.000 0.000
La: 0.844 0.844 0.313
La: 0.156 0.156 0.687
La: 0.000 0.500 0.000
La: 0.500 0.000 0.000

Output
- mass density (g/cm³) = 4.595
- volume (Å³ per cell) = 286
- DFT formation energy (eV/atom) = 0.142

The following is a PBE calculation of a relaxed NaLaOs2 crystal, from Alexandria via LeMat-Bulk.

Cell lengths 8.033, 8.033, 6.244 Å; angles 49.96, 49.96, 90.00 degrees
Sites, in units of the cell vectors:
Na: 0.500 0.500 0.000
Na: 0.250 0.750 0.500
Os: 0.612 0.125 0.250
Os: 0.138 0.625 0.250
Os: 0.375 0.388 0.750
Os: 0.875 0.862 0.750
La: 0.000 0.000 0.000
La: 0.750 0.250 0.500

Output
- mass density (g/cm³) = 10.767
- volume (Å³ per cell) = 167
- DFT formation energy (eV/atom) = 1.034

The following is a PBE calculation of a relaxed NaLaOs2 crystal, from Alexandria via LeMat-Bulk.

Cell lengths 4.784, 4.784, 4.784 Å; angles 60.00, 60.00, 60.00 degrees
Sites, in units of the cell vectors:
Na: 0.000 0.000 0.000
Os: 0.250 0.250 0.250
Os: 0.750 0.750 0.750
La: 0.500 0.500 0.500

Output
- mass density (g/cm³) = 11.632
- volume (Å³ per cell) = 77
- DFT formation energy (eV/atom) = 1.043

The following is a PBE calculation of a relaxed NaLa2Os crystal, from Alexandria via LeMat-Bulk.

Cell lengths 4.233, 4.233, 9.627 Å; angles 77.30, 77.30, 60.00 degrees
Sites, in units of the cell vectors:
Na: 0.501 0.501 0.496
La: 0.052 0.052 0.843
La: 0.280 0.280 0.159
Os: 0.666 0.666 0.002

Output
- mass density (g/cm³) = 5.642
- volume (Å³ per cell) = 145
- DFT formation energy (eV/atom) = -0.051

The following is a PBE calculation of a relaxed NaLa2Os crystal, from Alexandria via LeMat-Bulk.

Cell lengths 4.214, 4.214, 9.774 Å; angles 77.55, 77.55, 60.00 degrees
Sites, in units of the cell vectors:
Na: 0.500 0.500 0.500
Os: 0.000 0.000 0.000
La: 0.719 0.719 0.843
La: 0.281 0.281 0.157

Output
- mass density (g/cm³) = 5.601
- volume (Å³ per cell) = 146
- DFT formation energy (eV/atom) = -0.046

The following is a PBE calculation of a relaxed NaLa2Os crystal, from Alexandria via LeMat-Bulk.

Cell lengths 8.440, 8.440, 6.933 Å; angles 52.51, 52.51, 90.00 degrees
Sites, in units of the cell vectors:
Na: 0.500 0.500 0.000
Na: 0.250 0.750 0.500
Os: 0.000 0.000 0.000
Os: 0.750 0.250 0.500
La: 0.698 0.125 0.250
La: 0.052 0.625 0.250
La: 0.375 0.302 0.750
La: 0.875 0.948 0.750

Output
- mass density (g/cm³) = 6.487
- volume (Å³ per cell) = 251
- DFT formation energy (eV/atom) = 0.275

> Which formula does entry 4 have?

NaLaZr2O6